Record 1
Below is a geometry-optimized Ca10Al6Si13N30 structure, with properties calculated at the GGA-PBE level.

Results
VASP energy: -434.8 eV per formula unit

Structure (POSCAR):
```
Ca10Al6Si13N30
1.0
5.059 -0.001 -0.007
-0.001 5.666 0.000
0.097 2.243 24.525
Ca Al Si N
10 6 13 30
direct
0.502 0.530 0.607 Ca
0.495 0.293 0.992 Ca
0.463 0.899 0.813 Ca
0.504 0.122 0.400 Ca
0.510 0.713 0.198 Ca
0.983 0.321 0.811 Ca
0.004 0.626 0.968 Ca
0.004 0.077 0.197 Ca
0.000 0.505 0.401 Ca
0.000 0.895 0.596 Ca
0.032 0.942 0.470 Al
0.530 0.684 0.330 Al
0.524 0.016 0.672 Al
0.533 0.619 0.473 Al
0.528 0.789 0.067 Al
0.532 0.213 0.267 Al
0.978 0.148 0.931 Si
0.018 0.823 0.731 Si
0.029 0.407 0.534 Si
0.027 0.332 0.673 Si
0.040 0.003 0.328 Si
0.032 0.577 0.128 Si
0.041 0.525 0.267 Si
0.033 0.099 0.068 Si
0.493 0.848 0.930 Si
0.525 0.096 0.532 Si
0.516 0.492 0.735 Si
0.499 0.397 0.875 Si
0.527 0.265 0.128 Si
0.317 0.136 0.908 N
0.371 0.379 0.522 N
0.364 0.768 0.716 N
0.376 0.984 0.315 N
0.375 0.546 0.117 N
0.366 0.304 0.690 N
0.347 0.643 0.894 N
0.377 0.501 0.279 N
0.394 0.919 0.485 N
0.373 0.080 0.085 N
0.454 0.733 0.998 N
0.485 0.965 0.598 N
0.487 0.383 0.803 N
0.502 0.549 0.401 N
0.506 0.141 0.195 N
0.860 0.531 0.714 N
0.809 0.911 0.916 N
0.812 0.386 0.901 N
0.897 0.731 0.309 N
0.867 0.148 0.517 N
0.900 0.240 0.284 N
0.890 0.820 0.090 N
0.896 0.639 0.492 N
0.898 0.043 0.679 N
0.875 0.307 0.112 N
0.960 0.909 0.792 N
0.992 0.202 0.002 N
0.988 0.622 0.198 N
0.985 0.048 0.396 N
0.994 0.455 0.604 N
```


Record 2
Below is a geometry-optimized CaSm2AlN structure, with properties calculated at the GGA-PBE level.

Results
VASP energy: -27.2 eV per formula unit

Structure (POSCAR):
```
CaSm2AlN
1.0
-4.450 -1.154 -1.477
1.865 -1.805 -4.210
0.453 -4.450 2.109
Ca Sm Al N
1 2 1 1
direct
0.500 0.000 0.000 Ca
0.000 0.000 0.500 Sm
0.000 0.500 0.000 Sm
0.500 0.500 0.500 Al
0.000 0.000 0.000 N
```


Record 3
Below is a geometry-optimized CaSm12Al4N3 structure, with properties calculated at the GGA-PBE level.

Results
VASP energy: -105.5 eV per formula unit

Structure (POSCAR):
```
CaSm12Al4N3
1.0
8.657 0.000 0.000
-2.886 8.162 0.000
-2.886 -4.081 7.068
Ca Sm Al N
1 12 4 3
direct
0.000 0.000 0.000 Ca
0.250 0.500 0.750 Sm
0.730 0.000 0.730 Sm
0.270 0.000 0.270 Sm
0.750 0.500 0.250 Sm
0.730 0.730 0.000 Sm
0.270 0.270 0.000 Sm
0.750 0.250 0.500 Sm
0.250 0.750 0.500 Sm
0.500 0.250 0.750 Sm
0.000 0.730 0.730 Sm
0.500 0.750 0.250 Sm
0.000 0.270 0.270 Sm
0.500 0.500 0.500 Al
0.000 0.000 0.500 Al
0.500 0.000 0.000 Al
0.000 0.500 0.000 Al
0.500 0.000 0.500 N
0.500 0.500 0.000 N
0.000 0.500 0.500 N
```